! BeInNiF2 (GGA+U, relaxed); values from VASP
&SYSTEM
  ibrav = 0, nat = 5, ntyp = 4
/
ATOMIC_SPECIES
Be 9.01 Be.upf
In 114.82 In.upf
Ni 58.69 Ni.upf
F 19.00 F.upf
CELL_PARAMETERS angstrom
3.420 0.000 0.000
0.000 3.420 0.000
0.000 0.000 6.063
ATOMIC_POSITIONS angstrom
Be 0.000 0.000 0.000
In 1.710 1.710 3.032
Ni 0.000 0.000 3.032
F 0.000 1.710 0.000
F 1.710 0.000 0.000
! Final energy (Ry per atom): -0.27017
! ρ (g/cm3): 5.163